# Pr3B2N6 PBE-GGA relaxed
# E_form (uncorrected)   -5.0 eV/f.u.
data_Pr3B2N6
_chemical_formula_sum 'Pr6 B4 N12'
_symmetry_space_group_name_H-M 'I 4/m m m'
_symmetry_Int_Tables_number 139
_symmetry_space_group_name_Hall '-I 4 2'
_cell_length_a 3.6403
_cell_length_b 3.6403
_cell_length_c 20.2073
_cell_angle_alpha 90.00
_cell_angle_beta 90.00
_cell_angle_gamma 90.00
loop_
_atom_site_label
_atom_site_fract_x
_atom_site_fract_y
_atom_site_fract_z
Pr1 0.0000 0.0000 0.0000
Pr2 0.0000 0.0000 0.1794
B1 0.0000 0.0000 0.3799
N1 0.0000 0.0000 0.3078
N2 0.0000 0.5000 0.0887